Here is a relaxed LiTaIr2 crystal from Alexandria. Energies are from PBE.

Output
Energy of formation from the pure elements ... -272 meV per atom
Energy ... -8.144 eV per atom
Relative energy among the computed polymorphs ... 326 meV/atom
Crystal system ... monoclinic

Unit cell a=9.581 b=2.790 c=4.700 alpha=90.00 beta=102.14 gamma=90.00
Space group Cm (No. 8)
Inequivalent atoms, fractional coordinates:
Li1 0.000 0.000 0.000 (multiplicity 2)
Ta1 0.283 0.500 0.343 (multiplicity 2)
Ir1 0.032 0.500 0.518 (multiplicity 2)
Ir2 0.247 0.000 0.840 (multiplicity 2)

=====

Here is a relaxed LiTaIr2 crystal from Alexandria. Energies are from PBE.

Output
Energy of formation from the pure elements ... 82 meV per atom
Energy ... -7.790 eV per atom
Relative energy among the computed polymorphs ... 681 meV/atom
Crystal system ... tetragonal

Unit cell a=6.884 b=6.884 c=5.602 alpha=90.00 beta=90.00 gamma=90.00
Space group I-42d (No. 122)
Inequivalent atoms, fractional coordinates:
Li1 0.000 0.000 0.000 (multiplicity 4)
Ta1 0.000 0.000 0.500 (multiplicity 4)
Ir1 0.239 0.750 0.625 (multiplicity 8)

=====

Here is a relaxed Li2TaIr2 crystal from Alexandria. Energies are from PBE.

Output
Energy of formation from the pure elements ... -165 meV per atom
Energy ... -6.845 eV per atom
Relative energy among the computed polymorphs ... 0 meV/atom
Crystal system ... monoclinic

Unit cell a=7.483 b=4.325 c=4.848 alpha=90.00 beta=120.84 gamma=90.00
Space group C2/m (No. 12)
Inequivalent atoms, fractional coordinates:
Li1 0.083 0.000 0.249 (multiplicity 4)
Ta1 0.000 0.500 0.500 (multiplicity 2)
Ir1 0.218 0.500 0.155 (multiplicity 4)

=====

Among the records above, which one has the lowest energy of formation from the pure elements?
number 1

=====

Look up the energy of the third one.
-6.845 eV per atom